## 1
# CoTcW2

An optimized crystal structure of CoTcW2 (GGA-PBEsol, Alexandria).

Lattice parameters (Å, degrees): 3.865 3.865 3.709 90.00 90.00 90.00
Fractional coordinates of all 4 atoms:
Co1 0.000 0.000 0.000
Tc1 0.500 0.500 0.000
W1 0.000 0.500 0.500
W2 0.500 0.000 0.500

Calculated values
space-group type	No. 123



## 2
# CoTcW2

An optimized crystal structure of CoTcW2 (GGA-PBEsol, Alexandria).

Lattice parameters (Å, degrees): 4.978 4.978 4.978 142.93 129.81 64.01
Fractional coordinates of all 4 atoms:
Co1 0.000 0.000 0.000
Tc1 0.735 0.235 0.500
W1 0.243 0.743 0.500
W2 0.489 0.489 0.000

Calculated values
space-group type	No. 44



Which of them is least stable? Easy: 2.



## 1
# YCoTc

An optimized crystal structure of YCoTc (GGA-PBEsol, Alexandria).

Lattice parameters (Å, degrees): 3.897 3.897 4.193 90.00 90.00 120.00
Fractional coordinates of all 3 atoms:
Y1 0.000 0.000 0.000
Co1 0.333 0.667 0.500
Tc1 0.667 0.333 0.500

Calculated values
space-group type	No. 187



## 2
# YCoTc

An optimized crystal structure of YCoTc (GGA-PBEsol, Alexandria).

Lattice parameters (Å, degrees): 4.334 4.334 4.334 60.00 60.00 60.00
Fractional coordinates of all 3 atoms:
Y1 0.000 0.000 0.000
Co1 0.250 0.250 0.250
Tc1 0.750 0.750 0.750

Calculated values
space-group type	No. 216



Which of them is least stable? Easy: 2.



## 1
# ZrCoTc2

An optimized crystal structure of ZrCoTc2 (GGA-PBEsol, Alexandria).

Lattice parameters (Å, degrees): 4.362 4.362 4.362 60.00 60.00 60.00
Fractional coordinates of all 4 atoms:
Zr1 0.000 0.000 0.000
Co1 0.500 0.500 0.500
Tc1 0.250 0.250 0.250
Tc2 0.750 0.750 0.750

Calculated values
space-group type	No. 225



## 2
# ZrCoTc2

An optimized crystal structure of ZrCoTc2 (GGA-PBEsol, Alexandria).

Lattice parameters (Å, degrees): 5.123 5.123 2.710 100.54 100.54 118.47
Fractional coordinates of all 4 atoms:
Zr1 0.000 0.000 0.000
Co1 0.500 0.500 0.000
Tc1 0.000 0.500 0.500
Tc2 0.500 0.000 0.500

Calculated values
space-group type	No. 12



## 3
# ZrCoTc2

An optimized crystal structure of ZrCoTc2 (GGA-PBEsol, Alexandria).

Lattice parameters (Å, degrees): 4.905 4.905 4.905 134.89 134.89 65.70
Fractional coordinates of all 4 atoms:
Zr1 0.000 0.000 0.000
Co1 0.500 0.500 0.000
Tc1 0.250 0.750 0.500
Tc2 0.750 0.250 0.500

Calculated values
space-group type	No. 139



Which of them is least stable? Easy: 1.



## 1
# Co2Te

An optimized crystal structure of Co2Te (GGA-PBEsol, Alexandria).

Lattice parameters (Å, degrees): 3.480 3.480 3.770 90.00 90.00 90.00
Fractional coordinates of all 3 atoms:
Co1 0.000 0.500 0.000
Co2 0.500 0.000 0.000
Te1 0.000 0.000 0.500

Calculated values
space-group type	No. 123



## 2
# Co2Te

An optimized crystal structure of Co2Te (GGA-PBEsol, Alexandria).

Lattice parameters (Å, degrees): 3.900 3.900 3.414 90.00 90.00 120.00
Fractional coordinates of all 3 atoms:
Co1 0.333 0.667 0.000
Co2 0.667 0.333 0.000
Te1 0.000 0.000 0.500

Calculated values
space-group type	No. 191



## 3
# Co2Te

An optimized crystal structure of Co2Te (GGA-PBEsol, Alexandria).

Lattice parameters (Å, degrees): 8.085 8.085 3.586 90.00 90.00 154.57
Fractional coordinates of all 6 atoms:
Co1 0.048 0.952 0.750
Co2 0.450 0.550 0.750
Co3 0.550 0.450 0.250
Co4 0.952 0.048 0.250
Te1 0.339 0.661 0.250
Te2 0.661 0.339 0.750

Calculated values
space-group type	No. 63



Which of them is least stable? Easy: 2.